TlIn2Pt | PBEsol | relaxed

Lattice parameters (Å, degrees): 4.9412 4.9412 4.9412 60.00 60.00 60.00
With the nearest neighbours (Å) after each atom.
Positions (direct):
1 Tl 0.0000 0.0000 0.0000  8 In 3.03
2 In 0.2500 0.2500 0.2500  4 Tl 3.03, 4 Pt 3.03
3 In 0.7500 0.7500 0.7500  4 Tl 3.03, 4 Pt 3.03
4 Pt 0.5000 0.5000 0.5000  8 In 3.03

Properties
Its density of states at the Fermi level is 2.1 states/eV/f.u. Its uncorrected energy is -3.861 eV per atom. The calculation puts the density at 12.25 Mg/m³. The total moment is 0.00 μB per formula unit. The value obtained for the formation energy from the elements is 0.029 eV per atom. The value obtained for the offset from the most stable computed form is 0.211 eV per atom.

TlIn2Pt | PBEsol | relaxed

Lattice parameters (Å, degrees): 4.4759 4.4759 4.3880 97.00 97.00 96.94
With the nearest neighbours (Å) after each atom.
Positions (direct):
1 Tl 0.0000 0.0000 0.0000  4 In 2.94, 2 Pt 2.97
2 In 0.0000 0.5000 0.5000  2 Tl 2.94, 2 Pt 2.94, 2 In 2.97
3 In 0.5000 0.0000 0.5000  2 Tl 2.94, 2 Pt 2.94, 2 In 2.97
4 Pt 0.5000 0.5000 0.0000  4 In 2.94, 2 Tl 2.97

Properties
Its density of states at the Fermi level is 1.8 states/eV/f.u. Its uncorrected energy is -3.840 eV per atom. The calculation puts the density at 12.18 Mg/m³. The total moment is 0.00 μB per formula unit. The value obtained for the formation energy from the elements is 0.050 eV per atom. The value obtained for the offset from the most stable computed form is 0.232 eV per atom.

TlIn2Pt | PBEsol | relaxed

Lattice parameters (Å, degrees): 3.2560 3.2560 8.4189 90.00 90.00 90.00
With the nearest neighbours (Å) after each atom.
Positions (direct):
1 Tl 0.0000 0.0000 0.0000  4 Tl 3.26, 8 In 3.44
2 In 0.5000 0.5000 0.3037  4 Pt 2.83
3 In 0.5000 0.5000 0.6963  4 Pt 2.83
4 Pt 0.0000 0.0000 0.5000  8 In 2.83

Properties
Its density of states at the Fermi level is 1.5 states/eV/f.u. Its uncorrected energy is -4.068 eV per atom. The calculation puts the density at 11.70 Mg/m³. The total moment is 0.00 μB per formula unit. The value obtained for the formation energy from the elements is -0.178 eV per atom. The value obtained for the offset from the most stable computed form is 0.004 eV per atom.

TmInPt | PBEsol | relaxed

Lattice parameters (Å, degrees): 7.4704 7.4704 3.8150 90.00 90.00 120.00
With the nearest neighbours (Å) after each atom.
Positions (direct):
1 Tm 0.0000 0.4063 0.0000  5 Pt 2.96-3.04, 6 In 3.13-3.28
2 Tm 0.4063 0.0000 0.0000  5 Pt 2.96-3.04, 6 In 3.13-3.28
3 Tm 0.5937 0.5937 0.0000  5 Pt 2.96-3.04, 6 In 3.13-3.28
4 In 0.0000 0.7391 0.5000  4 Pt 2.73-2.80
5 In 0.2609 0.2609 0.5000  4 Pt 2.73-2.80
6 In 0.7391 0.0000 0.5000  4 Pt 2.73-2.80
7 Pt 0.0000 0.0000 0.0000  6 In 2.73, 3 Tm 3.04
8 Pt 0.3333 0.6667 0.5000  3 In 2.80, 6 Tm 2.96
9 Pt 0.6667 0.3333 0.5000  3 In 2.80, 6 Tm 2.96

Properties
Its density of states at the Fermi level is 2.1 states/eV/f.u. Its uncorrected energy is -5.969 eV per atom. The calculation puts the density at 12.94 Mg/m³. The total moment is 0.00 μB per formula unit. The value obtained for the formation energy from the elements is -1.021 eV per atom.

Which value of total moment does entry 1 give? 0.00 μB per formula unit

Number 3 is which compound? TlIn2Pt

The highest formation energy from the elements belongs to which entry? number 2